a:
## PrSmPdRh (PBE)

Data for a geometry-optimized PrSmPdRh structure.

Computed properties:
Mass density   9.12 g/cm³

a = 5.0512 Å, b = 5.0512 Å, c = 5.0512 Å
α = 60.00°, β = 60.00°, γ = 60.00°
Closest atoms and distances in Å follow each position.
Atoms (fractional coordinates):
Rh 0.5000 0.5000 0.5000  4 Pr 3.09, 4 Sm 3.09
Pr 0.7500 0.7500 0.7500  4 Rh 3.09, 4 Pd 3.09
Pd 0.0000 0.0000 0.0000  4 Pr 3.09, 4 Sm 3.09
Sm 0.2500 0.2500 0.2500  4 Rh 3.09, 4 Pd 3.09

---

b:
## PrSmPdRh (PBE)

Data for a geometry-optimized PrSmPdRh structure.

Computed properties:
Mass density   8.79 g/cm³

a = 3.8715 Å, b = 4.5073 Å, c = 5.7528 Å
α = 90.00°, β = 109.66°, γ = 90.00°
Closest atoms and distances in Å follow each position.
Atoms (fractional coordinates):
Pd 0.5835 0.5000 0.1671  2 Rh 2.94, 4 Pr 3.04, 3 Sm 3.05-3.06
Pr 0.1419 0.0000 0.2837  3 Rh 2.90-3.17, 4 Pd 3.04
Rh 0.4099 0.0000 0.8198  3 Pr 2.90-3.17, 2 Pd 2.94, 4 Sm 3.01
Sm 0.8647 0.5000 0.7294  4 Rh 3.01, 3 Pd 3.05-3.06

---

Out of the structures above, which one is the least stable? Solution: a.